No. 1
Computed, not measured: a relaxed Y8AgRh2 crystal at the PBE level of DFT.

Cell: 7.8318 7.8318 5.6086 Å, 98.11 98.11 113.71°
Atoms (fractional coordinates):
Y 0.0000 0.0000 0.0000
Y 0.0493 0.3055 0.6041
Y 0.1410 0.6202 0.1906
Y 0.3055 0.0493 0.6041
Y 0.4556 0.7119 0.7769
Y 0.6202 0.1410 0.1906
Y 0.7119 0.4556 0.7769
Y 0.7605 0.7605 0.3807
Ag 0.3802 0.3802 0.1936
Rh 0.0768 0.6842 0.6905
Rh 0.6842 0.0768 0.6905

Results
spin magnetization	0.0	μB per formula unit
electronic total energy	-6.60	eV/atom
energy relative to the elements	-0.3046	eV/atom
DOS at the Fermi energy	14.13	states/eV/f.u.
V	304.3	Å³/f.u.
symmetry	Cm, No. 8

=====

No. 2
Computed, not measured: a relaxed YAgRh2 crystal at the PBE level of DFT.

Cell: 4.1982 4.1982 3.9996 Å, 90.00 90.00 90.00°
Atoms (fractional coordinates):
Y 0.0000 0.0000 0.0000
Ag 0.5000 0.5000 0.0000
Rh 0.0000 0.5000 0.5000
Rh 0.5000 0.0000 0.5000

Results
spin magnetization	0.0	μB per formula unit
electronic total energy	-6.40	eV/atom
energy relative to the elements	-0.3917	eV/atom
DOS at the Fermi energy	5.70	states/eV/f.u.
V	70.5	Å³/f.u.
symmetry	P4/mmm, No. 123

=====

No. 3
Computed, not measured: a relaxed YAgRh4 crystal at the PBE level of DFT.

Cell: 5.2611 5.2611 5.2611 Å, 60.00 60.00 60.00°
Atoms (fractional coordinates):
Y 0.0000 0.0000 0.0000
Ag 0.7500 0.7500 0.7500
Rh 0.3753 0.3753 0.3753
Rh 0.3753 0.3753 0.8740
Rh 0.3753 0.8740 0.3753
Rh 0.8740 0.3753 0.3753

Results
spin magnetization	0.1	μB per formula unit
electronic total energy	-6.74	eV/atom
energy relative to the elements	-0.2884	eV/atom
DOS at the Fermi energy	9.93	states/eV/f.u.
V	103.0	Å³/f.u.
symmetry	F-43m, No. 216